The following is a PBE calculation of a relaxed CaCo2Te2 crystal, from the Alexandria database.

Results
Crystal system = tetragonal
E = -4.87 eV per atom
Uncorrected formation energy = -0.37 eV/atom
Total moment = 1.877 μB/cell
Symmetry = I4/mmm, No. 139

Cell lengths 4.0875, 4.0875, 6.9801 Å; angles 72.97, 72.97, 90.00 degrees
Last column: nearest neighbours and their distance in Å.
Element x y z (fractional)
Ca 0.0000 0.0000 0.0000  8 Te 3.37
Te 0.3639 0.3639 0.2723  4 Co 2.50
Te 0.6361 0.6361 0.7277  4 Co 2.50
Co 0.7500 0.2500 0.5000  4 Te 2.50
Co 0.2500 0.7500 0.5000  4 Te 2.50



The following is a PBE calculation of a relaxed Ca4CoTe2 crystal, from the Alexandria database.

Results
Crystal system = tetragonal
E = -3.69 eV per atom
Uncorrected formation energy = -0.64 eV/atom
Total moment = 0.000 μB/cell
Symmetry = I4/mmm, No. 139

Cell lengths 5.0537, 5.0537, 8.9866 Å; angles 73.67, 73.67, 90.00 degrees
Last column: nearest neighbours and their distance in Å.
Element x y z (fractional)
Ca 0.1673 0.1673 0.6653  1 Co 2.76
Ca 0.8327 0.8327 0.3347  1 Co 2.76
Ca 0.0000 0.5000 0.0000  2 Co 2.53
Ca 0.5000 0.0000 0.0000  2 Co 2.53
Te 0.3581 0.3581 0.2838  5 Ca 3.15-3.44
Te 0.6419 0.6419 0.7162  5 Ca 3.15-3.44
Co 0.0000 0.0000 0.0000  6 Ca 2.53-2.76



The following is a PBE calculation of a relaxed CaCo2Te crystal, from the Alexandria database.

Results
Crystal system = cubic
E = -4.50 eV per atom
Uncorrected formation energy = 0.34 eV/atom
Total moment = 2.864 μB/cell
Symmetry = F-43m, No. 216

Cell lengths 4.7083, 4.7083, 4.7083 Å; angles 60.00, 60.00, 60.00 degrees
Last column: nearest neighbours and their distance in Å.
Element x y z (fractional)
Ca 0.5000 0.5000 0.5000  4 Co 2.88, 4 Te 2.88
Te 0.7500 0.7500 0.7500  4 Co 2.88, 4 Ca 2.88
Co 0.0000 0.0000 0.0000  4 Te 2.88, 4 Co 2.88
Co 0.2500 0.2500 0.2500  4 Co 2.88, 4 Ca 2.88



The following is a PBE calculation of a relaxed CaCo2Te crystal, from the Alexandria database.

Results
Crystal system = tetragonal
E = -4.78 eV per atom
Uncorrected formation energy = 0.06 eV/atom
Total moment = 3.728 μB/cell
Symmetry = I-42d, No. 122

Cell lengths 4.6375, 4.6375, 9.1399 Å; angles 75.30, 75.30, 90.00 degrees
Last column: nearest neighbours and their distance in Å.
Element x y z (fractional)
Ca 0.5000 0.5000 0.0000  8 Co 3.25-3.47, 4 Te 3.28
Ca 0.2500 0.7500 0.5000  8 Co 3.25-3.47, 4 Te 3.28
Te 0.0000 0.0000 0.0000  4 Co 2.43
Te 0.7500 0.2500 0.5000  4 Co 2.43
Co 0.8395 0.1250 0.2500  2 Co 2.34, 2 Te 2.43
Co 0.9105 0.6250 0.2500  2 Co 2.34, 2 Te 2.43
Co 0.3750 0.1605 0.7500  2 Co 2.34, 2 Te 2.43
Co 0.8750 0.0895 0.7500  2 Co 2.34, 2 Te 2.43



The following is a PBE calculation of a relaxed CaCo2Te crystal, from the Alexandria database.

Results
Crystal system = monoclinic
E = -4.68 eV per atom
Uncorrected formation energy = 0.16 eV/atom
Total moment = 1.927 μB/cell
Symmetry = P2/m, No. 10

Cell lengths 4.2974, 4.3074, 5.6840 Å; angles 40.83, 90.00, 90.00 degrees
Last column: nearest neighbours and their distance in Å.
Element x y z (fractional)
Ca 0.0000 0.0000 0.5000  8 Co 2.84-2.85, 4 Te 3.04
Te 0.5000 0.5000 0.5000  8 Co 2.84-2.85, 4 Ca 3.04
Co 0.0000 0.0000 0.0000  4 Te 2.84, 4 Ca 2.84-2.85, 4 Co 3.04
Co 0.5000 0.5000 0.0000  4 Ca 2.84, 4 Te 2.84-2.85, 4 Co 3.04



The following is a PBE calculation of a relaxed CaCoTe4 crystal, from the Alexandria database.

Results
Crystal system = cubic
E = -3.20 eV per atom
Uncorrected formation energy = 0.41 eV/atom
Total moment = 2.289 μB/cell
Symmetry = F-43m, No. 216

Cell lengths 6.3583, 6.3583, 6.3583 Å; angles 60.00, 60.00, 60.00 degrees
Last column: nearest neighbours and their distance in Å.
Element x y z (fractional)
Ca 0.7500 0.7500 0.7500  12 Te 3.73, 4 Co 3.89
Co 0.0000 0.0000 0.0000  12 Te 3.73, 4 Ca 3.89
Te 0.8781 0.3740 0.3740  6 Te 3.15-3.21
Te 0.3740 0.3740 0.8781  6 Te 3.15-3.21
Te 0.3740 0.8781 0.3740  6 Te 3.15-3.21
Te 0.3740 0.3740 0.3740  6 Te 3.15-3.21



The following is a PBE calculation of a relaxed CaThCo4 crystal, from the Alexandria database.

Results
Crystal system = cubic
E = -6.35 eV per atom
Energy relative to the elements = -42 meV/atom
Total moment = 3.077 μB/cell
Symmetry = F-43m, No. 216

Cell lengths 5.1056, 5.1056, 5.1056 Å; angles 60.00, 60.00, 60.00 degrees
Last column: nearest neighbours and their distance in Å.
Element x y z (fractional)
Ca 0.0000 0.0000 0.0000  12 Co 2.99, 4 Th 3.13
Co 0.6248 0.6248 0.1256  6 Co 2.55-2.56
Co 0.6248 0.1256 0.6248  6 Co 2.55-2.56
Co 0.6248 0.6248 0.6248  6 Co 2.55-2.56
Co 0.1256 0.6248 0.6248  6 Co 2.55-2.56
Th 0.2500 0.2500 0.2500  12 Co 2.99, 4 Ca 3.13



The following is a PBE calculation of a relaxed CaTi2Co crystal, from the Alexandria database.

Results
Crystal system = tetragonal
E = -5.89 eV per atom
Energy relative to the elements = 332 meV/atom
Total moment = 0.000 μB/cell
Symmetry = I-42d, No. 122

Cell lengths 7.3713, 7.3713, 5.9565 Å; angles 51.77, 51.77, 90.00 degrees
Last column: nearest neighbours and their distance in Å.
Element x y z (fractional)
Ca 0.5000 0.5000 0.0000  2 Co 2.88, 8 Ti 3.11-3.12
Ca 0.2500 0.7500 0.5000  2 Co 2.88, 8 Ti 3.11-3.12
Co 0.0000 0.0000 0.0000  4 Ti 2.35
Co 0.7500 0.2500 0.5000  4 Ti 2.35
Ti 0.7020 0.1250 0.2500  2 Co 2.35
Ti 0.0480 0.6250 0.2500  2 Co 2.35
Ti 0.3750 0.2980 0.7500  2 Co 2.35
Ti 0.8750 0.9520 0.7500  2 Co 2.35



The following is a PBE calculation of a relaxed Ca3TiCo crystal, from the Alexandria database.

Results
Crystal system = cubic
E = -2.90 eV per atom
Energy relative to the elements = 1305 meV/atom
Total moment = 5.389 μB/cell
Symmetry = Pm-3m, No. 221

Cell lengths 5.6989, 5.6989, 5.6989 Å; angles 90.00, 90.00, 90.00 degrees
Last column: nearest neighbours and their distance in Å.
Element x y z (fractional)
Ca 0.0000 0.5000 0.0000  2 Ti 2.85
Ca 0.0000 0.0000 0.5000  2 Ti 2.85
Ca 0.5000 0.0000 0.0000  2 Ti 2.85
Co 0.5000 0.5000 0.5000  12 Ca 4.03
Ti 0.0000 0.0000 0.0000  6 Ca 2.85



The following is a PBE calculation of a relaxed CaTi2Co2 crystal, from the Alexandria database.

Results
Crystal system = tetragonal
E = -6.43 eV per atom
Energy relative to the elements = -31 meV/atom
Total moment = 0.000 μB/cell
Symmetry = P4/mbm, No. 127

Cell lengths 7.4775, 7.4775, 2.9074 Å; angles 90.00, 90.00, 90.00 degrees
Last column: nearest neighbours and their distance in Å.
Element x y z (fractional)
Ca 0.0000 0.0000 0.0000  2 Ca 2.91, 4 Co 2.91, 8 Ti 3.23
Ca 0.5000 0.5000 0.0000  2 Ca 2.91, 4 Co 2.91, 8 Ti 3.23
Co 0.3655 0.8655 0.0000  6 Ti 2.53-2.78
Co 0.8655 0.6345 0.0000  6 Ti 2.53-2.78
Co 0.6345 0.1345 0.0000  6 Ti 2.53-2.78
Co 0.1345 0.3655 0.0000  6 Ti 2.53-2.78
Ti 0.1419 0.6419 0.5000  6 Co 2.53-2.78
Ti 0.6419 0.8581 0.5000  6 Co 2.53-2.78
Ti 0.8581 0.3581 0.5000  6 Co 2.53-2.78
Ti 0.3581 0.1419 0.5000  6 Co 2.53-2.78



The following is a PBE calculation of a relaxed CaTi2Co crystal, from the Alexandria database.

Results
Crystal system = cubic
E = -5.75 eV per atom
Energy relative to the elements = 477 meV/atom
Total moment = 0.000 μB/cell
Symmetry = Fm-3m, No. 225

Cell lengths 4.5740, 4.5740, 4.5740 Å; angles 60.00, 60.00, 60.00 degrees
Last column: nearest neighbours and their distance in Å.
Element x y z (fractional)
Ca 0.0000 0.0000 0.0000  8 Ti 2.80
Co 0.5000 0.5000 0.5000  8 Ti 2.80
Ti 0.2500 0.2500 0.2500  4 Co 2.80, 4 Ca 2.80
Ti 0.7500 0.7500 0.7500  4 Co 2.80, 4 Ca 2.80



The following is a PBE calculation of a relaxed CaTi2Co2 crystal, from the Alexandria database.

Results
Crystal system = tetragonal
E = -6.28 eV per atom
Energy relative to the elements = 117 meV/atom
Total moment = 1.263 μB/cell
Symmetry = I4/mmm, No. 139

Cell lengths 4.3004, 4.3004, 5.8298 Å; angles 68.36, 68.36, 90.00 degrees
Last column: nearest neighbours and their distance in Å.
Element x y z (fractional)
Ca 0.0000 0.0000 0.0000  8 Co 3.29, 10 Ti 3.39-3.47
Co 0.7500 0.2500 0.5000  4 Ti 2.36
Co 0.2500 0.7500 0.5000  4 Ti 2.36
Ti 0.3485 0.3485 0.3030  4 Co 2.36
Ti 0.6515 0.6515 0.6970  4 Co 2.36



The following is a PBE calculation of a relaxed CaTiCo3 crystal, from the Alexandria database.

Results
Crystal system = cubic
E = -5.69 eV per atom
Energy relative to the elements = 552 meV/atom
Total moment = 0.994 μB/cell
Symmetry = Pm-3m, No. 221

Cell lengths 4.4076, 4.4076, 4.4076 Å; angles 90.00, 90.00, 90.00 degrees
Last column: nearest neighbours and their distance in Å.
Element x y z (fractional)
Ca 0.5000 0.5000 0.5000  12 Co 3.12
Co 0.0000 0.5000 0.0000  2 Ti 2.20
Co 0.0000 0.0000 0.5000  2 Ti 2.20
Co 0.5000 0.0000 0.0000  2 Ti 2.20
Ti 0.0000 0.0000 0.0000  6 Co 2.20



The following is a PBE calculation of a relaxed CaTi2Co2 crystal, from the Alexandria database.

Results
Crystal system = tetragonal
E = -6.54 eV per atom
Energy relative to the elements = -141 meV/atom
Total moment = 0.000 μB/cell
Symmetry = I4/mmm, No. 139

Cell lengths 4.1112, 4.1112, 5.8877 Å; angles 69.57, 69.57, 90.00 degrees
Last column: nearest neighbours and their distance in Å.
Element x y z (fractional)
Ca 0.0000 0.0000 0.0000  8 Co 3.14, 8 Ti 3.28
Co 0.3835 0.3835 0.2331  1 Co 2.39, 4 Ti 2.47
Co 0.6165 0.6165 0.7669  1 Co 2.39, 4 Ti 2.47
Ti 0.7500 0.2500 0.5000  4 Co 2.47
Ti 0.2500 0.7500 0.5000  4 Co 2.47